VASP calculation (GGA-PBE) on a relaxed structure of TlHg3Pb.

Unit cell a=5.883 b=5.883 c=5.883 alpha=90.00 beta=90.00 gamma=90.00
Fractional coordinates of all 5 atoms:
Tl: 0.500 0.500 0.500
Pb: 0.000 0.000 0.000
Hg: 0.000 0.500 0.000
Hg: 0.000 0.000 0.500
Hg: 0.500 0.000 0.000

Output
Symmetry: Pm-3m, No. 221
Formation energy, kJ per mole of atoms: 22.2
Total magnetization, μB/cell: 0.00

***

VASP calculation (GGA-PBE) on a relaxed structure of Tl8Hg4Pb.

Unit cell a=8.573 b=8.573 c=8.573 alpha=60.00 beta=60.00 gamma=60.00
Fractional coordinates of all 13 atoms:
Tl: 0.100 0.100 0.701
Pb: 0.750 0.750 0.750
Hg: 0.949 0.350 0.350
Tl: 0.189 0.604 0.604
Hg: 0.350 0.350 0.350
Hg: 0.350 0.949 0.350
Hg: 0.350 0.350 0.949
Tl: 0.604 0.604 0.189
Tl: 0.100 0.701 0.100
Tl: 0.701 0.100 0.100
Tl: 0.100 0.100 0.100
Tl: 0.604 0.189 0.604
Tl: 0.604 0.604 0.604

Output
Symmetry: F-43m, No. 216
Formation energy, kJ per mole of atoms: 13.0
Total magnetization, μB/cell: 0.00

***

VASP calculation (GGA-PBE) on a relaxed structure of TlHg2Pb.

Unit cell a=6.901 b=6.274 c=3.316 alpha=78.96 beta=82.39 gamma=121.00
Fractional coordinates of all 4 atoms:
Hg: 0.000 0.000 0.000
Tl: 0.500 0.500 0.000
Pb: 0.000 0.500 0.500
Hg: 0.500 0.000 0.500

Output
Symmetry: C2/m, No. 12
Formation energy, kJ per mole of atoms: 1.8
Total magnetization, μB/cell: 0.00

***

VASP calculation (GGA-PBE) on a relaxed structure of TlHg2Pb8.

Unit cell a=3.528 b=9.105 c=11.805 alpha=71.69 beta=89.93 gamma=78.86
Fractional coordinates of all 11 atoms:
Pb: 0.774 0.998 0.357
Pb: 0.271 0.008 0.603
Pb: 0.441 0.666 0.355
Pb: 0.096 0.347 0.849
Pb: 0.955 0.643 0.110
Tl: 0.767 0.000 0.883
Pb: 0.438 0.671 0.847
Hg: 0.101 0.331 0.356
Pb: 0.600 0.346 0.598
Hg: 0.939 0.674 0.599
Pb: 0.612 0.319 0.109

Output
Symmetry: P1, No. 1
Formation energy, kJ per mole of atoms: 3.2
Total magnetization, μB/cell: 0.00

***

VASP calculation (GGA-PBE) on a relaxed structure of Tl3Hg8Pb.

Unit cell a=6.069 b=6.069 c=10.619 alpha=90.00 beta=90.00 gamma=120.00
Fractional coordinates of all 12 atoms:
Tl: 0.667 0.333 0.066
Pb: 0.000 0.000 0.568
Hg: 0.333 0.667 0.498
Hg: 0.673 0.837 0.250
Hg: 0.163 0.837 0.250
Tl: 0.667 0.333 0.438
Tl: 0.000 0.000 0.933
Hg: 0.995 0.497 0.749
Hg: 0.163 0.327 0.250
Hg: 0.333 0.667 0.001
Hg: 0.503 0.497 0.749
Hg: 0.503 0.005 0.749

Output
Symmetry: P3m1, No. 156
Formation energy, kJ per mole of atoms: 3.2
Total magnetization, μB/cell: 0.00

***

VASP calculation (GGA-PBE) on a relaxed structure of Tl2Hg3Pb.

Unit cell a=4.827 b=5.557 c=7.045 alpha=113.23 beta=90.00 gamma=90.00
Fractional coordinates of all 6 atoms:
Tl: 0.000 0.334 0.669
Pb: 0.000 0.000 0.000
Hg: 0.500 0.835 0.670
Hg: 0.500 0.165 0.330
Tl: 0.000 0.666 0.331
Hg: 0.500 0.500 0.000

Output
Symmetry: Cmmm, No. 65
Formation energy, kJ per mole of atoms: 1.7
Total magnetization, μB/cell: 0.00

***

VASP calculation (GGA-PBE) on a relaxed structure of Tl2Hg2Pb5.

Unit cell a=8.238 b=10.683 c=9.342 alpha=124.87 beta=116.16 gamma=90.00
Fractional coordinates of all 18 atoms:
Pb: 0.222 0.681 0.820
Hg: 0.000 0.042 0.000
Tl: 0.486 0.877 0.770
Pb: 0.778 0.861 0.180
Pb: 0.206 0.923 0.249
Pb: 0.902 0.361 0.180
Pb: 0.456 0.173 0.751
Pb: 0.965 0.757 0.500
Hg: 0.637 0.915 0.500
Hg: 0.500 0.542 0.000
Pb: 0.098 0.181 0.820
Tl: 0.514 0.107 0.230
Tl: 0.784 0.377 0.770
Tl: 0.216 0.607 0.230
Pb: 0.035 0.257 0.500
Hg: 0.363 0.415 0.500
Pb: 0.794 0.673 0.751
Pb: 0.544 0.423 0.249

Output
Symmetry: Ima2, No. 46
Formation energy, kJ per mole of atoms: 7.2
Total magnetization, μB/cell: 0.00

***

VASP calculation (GGA-PBE) on a relaxed structure of Tl6Hg3Pb.

Unit cell a=6.020 b=10.730 c=10.730 alpha=117.71 beta=90.00 gamma=90.00
Fractional coordinates of all 20 atoms:
Hg: 0.943 0.745 0.934
Tl: 0.175 0.697 0.303
Tl: 0.828 0.443 0.032
Hg: 0.443 0.934 0.745
Hg: 0.443 0.255 0.066
Tl: 0.328 0.557 0.968
Tl: 0.675 0.303 0.697
Tl: 0.540 0.282 0.378
Tl: 0.040 0.378 0.282
Pb: 0.691 0.782 0.218
Tl: 0.900 0.060 0.940
Tl: 0.400 0.940 0.060
Pb: 0.191 0.218 0.782
Tl: 0.328 0.032 0.443
Hg: 0.098 0.404 0.596
Hg: 0.598 0.596 0.404
Tl: 0.540 0.622 0.718
Tl: 0.828 0.968 0.557
Tl: 0.040 0.718 0.622
Hg: 0.943 0.066 0.255

Output
Symmetry: Cmc2_1, No. 36
Formation energy, kJ per mole of atoms: 2.1
Total magnetization, μB/cell: 0.00

***

Q: Which value of total magnetization does entry 1 give?
A: 0.00 μB/cell

***

Q: Look up the formation energy of the sixth one.
A: 1.7 kJ per mole of atoms